Compound: CePuRh
Source: Alexandria
Functional: PBE
Structure: relaxed

Unit cell a=3.499 b=5.478 c=6.947 alpha=90.00 beta=104.61 gamma=90.00
Last column: magnetic moment on the atom in μB.
Positions (direct):
Pu  0.262  0.250  0.525  5.11
Pu  0.738  0.750  0.475  5.11
Rh  0.399  0.750  0.799  -0.12
Ce  0.935  0.250  0.869  0.49
Rh  0.601  0.250  0.201  -0.12
Ce  0.065  0.750  0.131  0.49

## Properties
Symmetry: P2_1/m, No. 11
DOS at the Fermi energy, states/eV per cell: 14.8
Energy of formation from the pure elements, eV per formula unit: -1.2


Compound: CePuRh4
Source: Alexandria
Functional: PBE
Structure: relaxed

Unit cell a=5.346 b=5.346 c=5.346 alpha=60.00 beta=60.00 gamma=60.00
Last column: magnetic moment on the atom in μB.
Positions (direct):
Rh  0.625  0.124  0.625  -0.13
Ce  0.250  0.250  0.250  0.57
Pu  0.000  0.000  0.000  5.11
Rh  0.124  0.625  0.625  -0.13
Rh  0.625  0.625  0.625  -0.13
Rh  0.625  0.625  0.124  -0.13

## Properties
Symmetry: F-43m, No. 216
DOS at the Fermi energy, states/eV per cell: 14.1
Energy of formation from the pure elements, eV per formula unit: -3.7


Compound: CePuRh
Source: Alexandria
Functional: PBE
Structure: relaxed

Unit cell a=2.948 b=4.839 c=4.839 alpha=120.00 beta=90.00 gamma=90.00
Last column: magnetic moment on the atom in μB.
Positions (direct):
Pu  0.500  0.667  0.333  4.97
Ce  0.500  0.333  0.667  0.21
Rh  0.000  0.000  0.000  0.00

## Properties
Symmetry: P-6m2, No. 187
DOS at the Fermi energy, states/eV per cell: 6.4
Energy of formation from the pure elements, eV per formula unit: -0.8


Compound: CePuRh
Source: Alexandria
Functional: PBE
Structure: relaxed

Unit cell a=3.513 b=3.513 c=5.651 alpha=108.11 beta=108.11 gamma=90.00
Last column: magnetic moment on the atom in μB.
Positions (direct):
Ce  0.004  0.004  0.008  0.38
Pu  0.328  0.328  0.657  5.05
Rh  0.667  0.667  0.335  -0.13

## Properties
Symmetry: I4mm, No. 107
DOS at the Fermi energy, states/eV per cell: 7.6
Energy of formation from the pure elements, eV per formula unit: -1.2